# 1
Below is TiIn2Rh after structural relaxation, with properties calculated at the GGA-PBE level.

Calculated values
Density ... 7.8 g cm⁻³
SG ... I-42d (122)
Formation enthalpy at 0 K ... 82 meV/atom

a = 7.569 Å, b = 7.569 Å, c = 6.049 Å
α = 51.27°, β = 51.27°, γ = 90.00°
Element x y z (fractional)
Rh (0.750, 0.250, 0.500)
In (0.103, 0.625, 0.250)
Rh (0.000, 0.000, 0.000)
In (0.647, 0.125, 0.250)
In (0.875, 0.897, 0.750)
In (0.375, 0.353, 0.750)
Ti (0.250, 0.750, 0.500)
Ti (0.500, 0.500, 0.000)

***

# 2
Below is Sr2ZnIn3Pd4 after structural relaxation, with properties calculated at the GGA-PBE level.

Calculated values
Density ... 7.2 g cm⁻³
SG ... P-4m2 (115)
Formation enthalpy at 0 K ... -583 meV/atom

a = 4.731 Å, b = 4.731 Å, c = 10.423 Å
α = 90.00°, β = 90.00°, γ = 90.00°
Element x y z (fractional)
Sr (0.500, 0.000, 0.244)
Sr (0.000, 0.500, 0.756)
In (0.000, 0.500, 0.125)
Pd (0.500, 0.000, 0.619)
In (0.500, 0.000, 0.875)
Pd (0.000, 0.500, 0.381)
Zn (0.500, 0.500, 0.500)
Pd (0.500, 0.500, 0.000)
Pd (0.000, 0.000, 0.000)
In (0.000, 0.000, 0.500)

***

# 3
Below is CaSmTl after structural relaxation, with properties calculated at the GGA-PBE level.

Calculated values
Density ... 6.9 g cm⁻³
SG ... P3m1 (156)
Formation enthalpy at 0 K ... -183 meV/atom

a = 3.840 Å, b = 5.349 Å, c = 5.349 Å
α = 120.00°, β = 90.00°, γ = 90.00°
Element x y z (fractional)
Sm (0.929, 0.000, 0.000)
Tl (0.685, 0.667, 0.333)
Ca (0.386, 0.333, 0.667)

***

# 4
Below is BeHg2F6 after structural relaxation, with properties calculated at the GGA-PBE level.

Calculated values
ΔE_f (raw) ... -190 kJ per mole of atoms
Density ... 5.6 g cm⁻³
SG ... C2/c (15)

a = 9.255 Å, b = 6.899 Å, c = 6.899 Å
α = 66.41°, β = 57.46°, γ = 57.46°
Element x y z (fractional)
F (0.242, 0.192, 0.039)
Be (0.250, 0.956, 0.044)
F (0.431, 0.732, 0.055)
F (0.200, 0.406, 0.408)
Be (0.750, 0.044, 0.956)
Hg (0.502, 0.370, 0.311)
F (0.758, 0.808, 0.961)
Hg (0.498, 0.630, 0.689)
F (0.800, 0.594, 0.592)
F (0.258, 0.961, 0.808)
F (0.569, 0.268, 0.945)
F (0.300, 0.592, 0.594)
F (0.742, 0.039, 0.192)
Hg (0.998, 0.689, 0.630)
F (0.700, 0.408, 0.406)
F (0.069, 0.945, 0.268)
F (0.931, 0.055, 0.732)
Hg (0.002, 0.311, 0.370)

***

# 5
Below is Nd6Ho12Mg after structural relaxation, with properties calculated at the GGA-PBE level.

Calculated values
Density ... 7.7 g cm⁻³
SG ... R-3 (148)
Formation enthalpy at 0 K ... 127 meV/atom

a = 8.519 Å, b = 8.519 Å, c = 8.519 Å
α = 88.93°, β = 88.93°, γ = 88.93°
Element x y z (fractional)
Ho (0.437, 0.778, 0.538)
Ho (0.563, 0.222, 0.462)
Nd (0.739, 0.907, 0.303)
Ho (0.190, 0.360, 0.015)
Ho (0.015, 0.190, 0.360)
Ho (0.810, 0.640, 0.985)
Ho (0.640, 0.985, 0.810)
Ho (0.222, 0.462, 0.563)
Nd (0.093, 0.697, 0.261)
Ho (0.778, 0.538, 0.437)
Ho (0.462, 0.563, 0.222)
Nd (0.261, 0.093, 0.697)
Nd (0.303, 0.739, 0.907)
Nd (0.907, 0.303, 0.739)
Mg (0.000, 0.000, 0.000)
Ho (0.360, 0.015, 0.190)
Ho (0.538, 0.437, 0.778)
Ho (0.985, 0.810, 0.640)
Nd (0.697, 0.261, 0.093)

***

# 6
Below is HfPt after structural relaxation, with properties calculated at the GGA-PBE level.

Calculated values
Density ... 15.7 g cm⁻³
SG ... Fddd (70)
Formation enthalpy at 0 K ... -941 meV/atom

a = 10.738 Å, b = 8.368 Å, c = 7.047 Å
α = 90.00°, β = 90.00°, γ = 90.00°
Element x y z (fractional)
Pt (0.250, 0.750, 0.452)
Pt (0.750, 0.750, 0.548)
Hf (0.500, 0.206, 0.000)
Hf (0.500, 0.794, 0.000)
Pt (0.250, 0.250, 0.952)
Pt (0.000, 0.000, 0.798)
Hf (0.000, 0.706, 0.000)
Pt (0.000, 0.500, 0.702)
Hf (0.250, 0.544, 0.750)
Pt (0.750, 0.750, 0.952)
Hf (0.250, 0.456, 0.250)
Pt (0.500, 0.500, 0.798)
Pt (0.000, 0.500, 0.298)
Pt (0.750, 0.250, 0.452)
Hf (0.000, 0.794, 0.500)
Pt (0.250, 0.750, 0.048)
Hf (0.000, 0.294, 0.000)
Pt (0.000, 0.000, 0.202)
Hf (0.250, 0.956, 0.750)
Hf (0.750, 0.044, 0.750)
Pt (0.500, 0.500, 0.202)
Hf (0.750, 0.956, 0.250)
Pt (0.250, 0.250, 0.548)
Hf (0.750, 0.456, 0.750)
Hf (0.750, 0.544, 0.250)
Pt (0.500, 0.000, 0.298)
Hf (0.500, 0.294, 0.500)
Hf (0.250, 0.044, 0.250)
Pt (0.500, 0.000, 0.702)
Pt (0.750, 0.250, 0.048)
Hf (0.500, 0.706, 0.500)
Hf (0.000, 0.206, 0.500)

***

# 7
Below is ZnPbBr after structural relaxation, with properties calculated at the GGA-PBE level.

Calculated values
ΔE_f (raw) ... 13 kJ per mole of atoms
Density ... 6.4 g cm⁻³
SG ... F-43m (216)

a = 5.067 Å, b = 5.067 Å, c = 5.067 Å
α = 60.00°, β = 60.00°, γ = 60.00°
Each line ends with the local moment (μB).
Element x y z (fractional)
Br (0.000, 0.000, 0.000)  0.03
Zn (0.750, 0.750, 0.750)  0.03
Pb (0.500, 0.500, 0.500)  0.11

***

# 8
Below is CeHoCdAg after structural relaxation, with properties calculated at the GGA-PBE level.

Calculated values
Density ... 8.4 g cm⁻³
SG ... F-43m (216)
Formation enthalpy at 0 K ... -171 meV/atom

a = 5.283 Å, b = 5.283 Å, c = 5.283 Å
α = 60.00°, β = 60.00°, γ = 60.00°
Each line ends with the local moment (μB).
Element x y z (fractional)
Ag (0.250, 0.250, 0.250)  0.01
Ce (0.000, 0.000, 0.000)  0.81
Ho (0.500, 0.500, 0.500)  0.07
Cd (0.750, 0.750, 0.750)  0.01

***

# 9
Below is Pm2ThGa after structural relaxation, with properties calculated at the GGA-PBE level.

Calculated values
Density ... 8.1 g cm⁻³
SG ... R3m (160)
Formation enthalpy at 0 K ... -124 meV/atom

a = 3.654 Å, b = 3.654 Å, c = 10.705 Å
α = 80.17°, β = 80.17°, γ = 60.00°
Element x y z (fractional)
Ga (0.666, 0.666, 0.001)
Pm (0.072, 0.072, 0.785)
Pm (0.262, 0.262, 0.215)
Th (0.500, 0.500, 0.500)

***

# 10
Below is Li2CaInSb2 after structural relaxation, with properties calculated at the GGA-PBE level.

Calculated values
ΔE_f (raw) ... -52 kJ per mole of atoms
Density ... 4.5 g cm⁻³
SG ... Pmc2_1 (26)

a = 4.508 Å, b = 7.505 Å, c = 9.018 Å
α = 90.00°, β = 90.00°, γ = 90.00°
Element x y z (fractional)
Li (0.000, 0.372, 0.179)
Sb (0.500, 0.754, 0.655)
Ca (0.000, 0.465, 0.572)
Li (0.000, 0.872, 0.821)
Li (0.500, 0.549, 0.939)
Sb (0.500, 0.254, 0.345)
Ca (0.000, 0.965, 0.428)
In (0.500, 0.650, 0.305)
Sb (0.000, 0.754, 0.116)
In (0.500, 0.150, 0.695)
Li (0.500, 0.049, 0.061)
Sb (0.000, 0.254, 0.884)

***

# 11
Below is PmB2Rh7 after structural relaxation, with properties calculated at the GGA-PBE level.

Calculated values
Density ... 9.5 g cm⁻³
SG ... Cmmm (65)
Formation enthalpy at 0 K ... -62 meV/atom

a = 4.168 Å, b = 6.383 Å, c = 6.383 Å
α = 114.16°, β = 90.00°, γ = 90.00°
Element x y z (fractional)
Pm (0.000, 0.000, 0.000)
B (0.500, 0.703, 0.297)
Rh (0.500, 0.944, 0.672)
Rh (0.500, 0.672, 0.944)
Rh (0.500, 0.328, 0.056)
Rh (0.000, 0.301, 0.699)
Rh (0.500, 0.500, 0.500)
Rh (0.500, 0.056, 0.328)
B (0.500, 0.297, 0.703)
Rh (0.000, 0.699, 0.301)

***

# 12
Below is Ti2IrRu after structural relaxation, with properties calculated at the GGA-PBE level.

Calculated values
Density ... 10.9 g cm⁻³
SG ... P4/mmm (123)
Formation enthalpy at 0 K ... -791 meV/atom

a = 3.213 Å, b = 4.301 Å, c = 4.301 Å
α = 90.00°, β = 90.00°, γ = 90.00°
Element x y z (fractional)
Ti (0.000, 0.000, 0.500)
Ir (0.500, 0.500, 0.500)
Ti (0.000, 0.500, 0.000)
Ru (0.500, 0.000, 0.000)